# SmLuSiAu

A geometry-optimized SmLuSiAu structure (GGA-PBE, Alexandria). Values from VASP.

Structure (Quantum ESPRESSO input):
```
&SYSTEM
  ibrav = 0, nat = 4, ntyp = 4
/
ATOMIC_SPECIES
Sm 150.36 Sm.upf
Lu 174.97 Lu.upf
Si 28.09 Si.upf
Au 196.97 Au.upf
CELL_PARAMETERS angstrom
0.000 3.574 3.574
3.574 0.000 3.574
3.574 3.574 0.000
ATOMIC_POSITIONS angstrom
Sm 0.000 0.000 0.000
Lu 3.574 3.574 3.574
Si 1.787 1.787 1.787
Au 5.361 5.361 5.361
```

**Energy relative to the elements, uncorrected**: -0.6289 eV per atom



# Sm2LuAu

A geometry-optimized Sm2LuAu structure (GGA-PBE, Alexandria). Values from VASP.

Structure (Quantum ESPRESSO input):
```
&SYSTEM
  ibrav = 0, nat = 4, ntyp = 3
/
ATOMIC_SPECIES
Sm 150.36 Sm.upf
Lu 174.97 Lu.upf
Au 196.97 Au.upf
CELL_PARAMETERS angstrom
3.695 0.000 0.000
0.000 3.695 0.000
0.000 0.000 8.312
ATOMIC_POSITIONS angstrom
Sm 0.000 0.000 1.789
Sm 0.000 0.000 6.523
Lu 1.848 1.848 4.156
Au 1.848 1.848 0.000
```

**Relative energy among the computed polymorphs**: 0.0 meV per atom



# Sm2LuAu

A geometry-optimized Sm2LuAu structure (GGA-PBE, Alexandria). Values from VASP.

Structure (Quantum ESPRESSO input):
```
&SYSTEM
  ibrav = 0, nat = 4, ntyp = 3
/
ATOMIC_SPECIES
Sm 150.36 Sm.upf
Lu 174.97 Lu.upf
Au 196.97 Au.upf
CELL_PARAMETERS angstrom
1.836 1.060 10.129
-1.836 1.060 10.129
0.000 -2.120 10.129
ATOMIC_POSITIONS angstrom
Sm 0.000 0.000 7.285
Sm 0.000 0.000 23.101
Lu 0.000 0.000 0.000
Au 0.000 0.000 15.193
```

**Relative energy among the computed polymorphs**: 106.9 meV per atom



# SmLuTcAu

A geometry-optimized SmLuTcAu structure (GGA-PBE, Alexandria). Values from VASP.

Structure (Quantum ESPRESSO input):
```
&SYSTEM
  ibrav = 0, nat = 4, ntyp = 4
/
ATOMIC_SPECIES
Sm 150.36 Sm.upf
Lu 174.97 Lu.upf
Tc 98.00 Tc.upf
Au 196.97 Au.upf
CELL_PARAMETERS angstrom
0.000 3.505 3.505
3.505 0.000 3.505
3.505 3.505 0.000
ATOMIC_POSITIONS angstrom
Sm 0.000 0.000 0.000
Lu 3.505 3.505 3.505
Tc 1.753 1.753 1.753
Au 5.258 5.258 5.258
```

**Calculated total energy**: -6.050 eV per atom



# SmLuTlAu

A geometry-optimized SmLuTlAu structure (GGA-PBE, Alexandria). Values from VASP.

Structure (Quantum ESPRESSO input):
```
&SYSTEM
  ibrav = 0, nat = 4, ntyp = 4
/
ATOMIC_SPECIES
Sm 150.36 Sm.upf
Lu 174.97 Lu.upf
Tl 204.38 Tl.upf
Au 196.97 Au.upf
CELL_PARAMETERS angstrom
0.000 3.711 3.711
3.711 0.000 3.711
3.711 3.711 0.000
ATOMIC_POSITIONS angstrom
Sm 0.000 0.000 0.000
Lu 3.711 3.711 3.711
Tl 5.567 5.567 5.567
Au 1.856 1.856 1.856
```

**Calculated total energy**: -4.263 eV per atom



# SmLuZnAu

A geometry-optimized SmLuZnAu structure (GGA-PBE, Alexandria). Values from VASP.

Structure (Quantum ESPRESSO input):
```
&SYSTEM
  ibrav = 0, nat = 4, ntyp = 4
/
ATOMIC_SPECIES
Sm 150.36 Sm.upf
Lu 174.97 Lu.upf
Zn 65.41 Zn.upf
Au 196.97 Au.upf
CELL_PARAMETERS angstrom
0.000 3.591 3.591
3.591 0.000 3.591
3.591 3.591 0.000
ATOMIC_POSITIONS angstrom
Sm 0.000 0.000 0.000
Lu 3.591 3.591 3.591
Zn 5.387 5.387 5.387
Au 1.796 1.796 1.796
```

**Calculated total energy**: -4.024 eV per atom



# LuSnAu

A geometry-optimized LuSnAu structure (GGA-PBE, Alexandria). Values from VASP.

Structure (Quantum ESPRESSO input):
```
&SYSTEM
  ibrav = 0, nat = 3, ntyp = 3
/
ATOMIC_SPECIES
Lu 174.97 Lu.upf
Sn 118.71 Sn.upf
Au 196.97 Au.upf
CELL_PARAMETERS angstrom
-1.742 1.742 5.803
1.742 -1.742 5.803
1.742 1.742 -5.803
ATOMIC_POSITIONS angstrom
Lu 0.000 0.000 0.000
Sn 0.000 0.000 8.086
Au 0.000 0.000 4.255
```

**Calculated total energy**: -4.503 eV per atom



# Lu2SnAu2

A geometry-optimized Lu2SnAu2 structure (GGA-PBE, Alexandria). Values from VASP.

Structure (Quantum ESPRESSO input):
```
&SYSTEM
  ibrav = 0, nat = 10, ntyp = 3
/
ATOMIC_SPECIES
Lu 174.97 Lu.upf
Sn 118.71 Sn.upf
Au 196.97 Au.upf
CELL_PARAMETERS angstrom
8.211 0.000 0.000
0.000 8.211 0.000
0.000 0.000 3.533
ATOMIC_POSITIONS angstrom
Lu 1.316 2.790 0.000
Lu 2.790 6.895 0.000
Lu 5.421 1.316 0.000
Lu 6.895 5.421 0.000
Sn 0.000 0.000 0.000
Sn 4.105 4.105 0.000
Au 1.080 5.185 1.767
Au 3.025 1.080 1.767
Au 5.185 7.130 1.767
Au 7.130 3.025 1.767
```

**Calculated total energy**: -4.529 eV per atom



# LuSnAu4

A geometry-optimized LuSnAu4 structure (GGA-PBE, Alexandria). Values from VASP.

Structure (Quantum ESPRESSO input):
```
&SYSTEM
  ibrav = 0, nat = 6, ntyp = 3
/
ATOMIC_SPECIES
Lu 174.97 Lu.upf
Sn 118.71 Sn.upf
Au 196.97 Au.upf
CELL_PARAMETERS angstrom
0.000 3.967 3.967
3.967 0.000 3.967
3.967 3.967 0.000
ATOMIC_POSITIONS angstrom
Lu 0.000 0.000 0.000
Sn 5.950 5.950 5.950
Au 2.973 2.973 2.973
Au 4.960 4.960 2.973
Au 4.960 2.973 4.960
Au 2.973 4.960 4.960
```

**Calculated total energy**: -3.951 eV per atom



# Lu2SnAu2

A geometry-optimized Lu2SnAu2 structure (GGA-PBE, Alexandria). Values from VASP.

Structure (Quantum ESPRESSO input):
```
&SYSTEM
  ibrav = 0, nat = 10, ntyp = 3
/
ATOMIC_SPECIES
Lu 174.97 Lu.upf
Sn 118.71 Sn.upf
Au 196.97 Au.upf
CELL_PARAMETERS angstrom
7.868 0.000 0.000
0.000 7.868 0.000
0.000 0.000 3.655
ATOMIC_POSITIONS angstrom
Lu 1.316 2.618 0.000
Lu 2.618 6.552 0.000
Lu 5.250 1.316 0.000
Lu 6.552 5.250 0.000
Sn 0.000 0.000 1.827
Sn 3.934 3.934 1.827
Au 1.016 4.950 1.827
Au 2.918 1.016 1.827
Au 4.950 6.852 1.827
Au 6.852 2.918 1.827
```

**Calculated total energy**: -4.756 eV per atom



# TbLuSnAu

A geometry-optimized TbLuSnAu structure (GGA-PBE, Alexandria). Values from VASP.

Structure (Quantum ESPRESSO input):
```
&SYSTEM
  ibrav = 0, nat = 4, ntyp = 4
/
ATOMIC_SPECIES
Tb 158.93 Tb.upf
Lu 174.97 Lu.upf
Sn 118.71 Sn.upf
Au 196.97 Au.upf
CELL_PARAMETERS angstrom
0.000 3.664 3.664
3.664 0.000 3.664
3.664 3.664 0.000
ATOMIC_POSITIONS angstrom
Tb 0.000 0.000 0.000
Lu 3.664 3.664 3.664
Sn 5.496 5.496 5.496
Au 1.832 1.832 1.832
```

**Calculated total energy**: -4.799 eV per atom



# LuTiSnAu

A geometry-optimized LuTiSnAu structure (GGA-PBE, Alexandria). Values from VASP.

Structure (Quantum ESPRESSO input):
```
&SYSTEM
  ibrav = 0, nat = 4, ntyp = 4
/
ATOMIC_SPECIES
Lu 174.97 Lu.upf
Ti 47.87 Ti.upf
Sn 118.71 Sn.upf
Au 196.97 Au.upf
CELL_PARAMETERS angstrom
0.000 3.489 3.489
3.489 0.000 3.489
3.489 3.489 0.000
ATOMIC_POSITIONS angstrom
Lu 0.000 0.000 0.000
Ti 3.489 3.489 3.489
Sn 5.234 5.234 5.234
Au 1.745 1.745 1.745
```

**Calculated total energy**: -5.361 eV per atom



# LuZnSnAu

A geometry-optimized LuZnSnAu structure (GGA-PBE, Alexandria). Values from VASP.

Structure (Quantum ESPRESSO input):
```
&SYSTEM
  ibrav = 0, nat = 4, ntyp = 4
/
ATOMIC_SPECIES
Lu 174.97 Lu.upf
Zn 65.41 Zn.upf
Sn 118.71 Sn.upf
Au 196.97 Au.upf
CELL_PARAMETERS angstrom
0.000 3.465 3.465
3.465 0.000 3.465
3.465 3.465 0.000
ATOMIC_POSITIONS angstrom
Lu 0.000 0.000 0.000
Zn 1.733 1.733 1.733
Sn 3.465 3.465 3.465
Au 5.198 5.198 5.198
```

**Calculated total energy**: -3.706 eV per atom



# SrLuAu2

A geometry-optimized SrLuAu2 structure (GGA-PBE, Alexandria). Values from VASP.

Structure (Quantum ESPRESSO input):
```
&SYSTEM
  ibrav = 0, nat = 4, ntyp = 3
/
ATOMIC_SPECIES
Sr 87.62 Sr.upf
Lu 174.97 Lu.upf
Au 196.97 Au.upf
CELL_PARAMETERS angstrom
2.457 1.418 5.185
-2.457 1.418 5.185
0.000 -2.837 5.185
ATOMIC_POSITIONS angstrom
Sr 0.000 0.000 0.000
Lu 0.000 0.000 7.777
Au 0.000 0.000 3.275
Au 0.000 0.000 12.279
```

**Relative energy among the computed polymorphs**: 77.5 meV per atom



# SrLuAu2

A geometry-optimized SrLuAu2 structure (GGA-PBE, Alexandria). Values from VASP.

Structure (Quantum ESPRESSO input):
```
&SYSTEM
  ibrav = 0, nat = 4, ntyp = 3
/
ATOMIC_SPECIES
Sr 87.62 Sr.upf
Lu 174.97 Lu.upf
Au 196.97 Au.upf
CELL_PARAMETERS angstrom
3.639 0.000 0.000
0.000 3.639 0.000
0.000 0.000 7.547
ATOMIC_POSITIONS angstrom
Sr 0.000 0.000 0.000
Lu 0.000 0.000 3.774
Au 1.819 1.819 2.216
Au 1.819 1.819 5.331
```

**Relative energy among the computed polymorphs**: 0.0 meV per atom



# SrLuAu2

A geometry-optimized SrLuAu2 structure (GGA-PBE, Alexandria). Values from VASP.

Structure (Quantum ESPRESSO input):
```
&SYSTEM
  ibrav = 0, nat = 4, ntyp = 3
/
ATOMIC_SPECIES
Sr 87.62 Sr.upf
Lu 174.97 Lu.upf
Au 196.97 Au.upf
CELL_PARAMETERS angstrom
0.000 3.669 3.669
3.669 0.000 3.669
3.669 3.669 0.000
ATOMIC_POSITIONS angstrom
Sr 0.000 0.000 0.000
Lu 3.669 3.669 3.669
Au 1.835 1.835 1.835
Au 5.504 5.504 5.504
```

**Relative energy among the computed polymorphs**: 114.6 meV per atom



# TbLuAu

A geometry-optimized TbLuAu structure (GGA-PBE, Alexandria). Values from VASP.

Structure (Quantum ESPRESSO input):
```
&SYSTEM
  ibrav = 0, nat = 3, ntyp = 3
/
ATOMIC_SPECIES
Tb 158.93 Tb.upf
Lu 174.97 Lu.upf
Au 196.97 Au.upf
CELL_PARAMETERS angstrom
-1.779 1.779 6.119
1.779 -1.779 6.119
1.779 1.779 -6.119
ATOMIC_POSITIONS angstrom
Tb 0.000 0.000 0.000
Lu 0.000 0.000 3.555
Au 0.000 0.000 8.031
```

**Relative energy among the computed polymorphs**: 0.0 meV per atom



# TbLu2Au

A geometry-optimized TbLu2Au structure (GGA-PBE, Alexandria). Values from VASP.

Structure (Quantum ESPRESSO input):
```
&SYSTEM
  ibrav = 0, nat = 4, ntyp = 3
/
ATOMIC_SPECIES
Tb 158.93 Tb.upf
Lu 174.97 Lu.upf
Au 196.97 Au.upf
CELL_PARAMETERS angstrom
3.519 0.000 0.000
0.000 3.519 0.000
0.000 0.000 8.645
ATOMIC_POSITIONS angstrom
Tb 0.000 0.000 0.000
Lu 1.760 1.760 2.563
Lu 1.760 1.760 6.081
Au 0.000 0.000 4.322
```

**Relative energy among the computed polymorphs**: 0.0 meV per atom



# TbLuAu2

A geometry-optimized TbLuAu2 structure (GGA-PBE, Alexandria). Values from VASP.

Structure (Quantum ESPRESSO input):
```
&SYSTEM
  ibrav = 0, nat = 4, ntyp = 3
/
ATOMIC_SPECIES
Tb 158.93 Tb.upf
Lu 174.97 Lu.upf
Au 196.97 Au.upf
CELL_PARAMETERS angstrom
3.541 0.000 0.000
0.000 3.541 0.000
0.000 0.000 7.251
ATOMIC_POSITIONS angstrom
Tb 0.000 0.000 0.000
Lu 0.000 0.000 3.626
Au 1.771 1.771 1.915
Au 1.771 1.771 5.336
```

**Relative energy among the computed polymorphs**: 0.0 meV per atom



# TbLu2Au

A geometry-optimized TbLu2Au structure (GGA-PBE, Alexandria). Values from VASP.

Structure (Quantum ESPRESSO input):
```
&SYSTEM
  ibrav = 0, nat = 4, ntyp = 3
/
ATOMIC_SPECIES
Tb 158.93 Tb.upf
Lu 174.97 Lu.upf
Au 196.97 Au.upf
CELL_PARAMETERS angstrom
4.651 0.000 0.000
0.000 4.651 0.000
0.000 0.000 4.678
ATOMIC_POSITIONS angstrom
Tb 0.000 0.000 0.000
Lu 0.000 2.326 2.339
Lu 2.326 0.000 2.339
Au 2.326 2.326 0.000
```

**Relative energy among the computed polymorphs**: 153.9 meV per atom